(1)
# Tm5AlTl3

A geometry-optimized Tm5AlTl3 structure (PBE, the Alexandria database).

Structure (CIF):
```
data_Tm5AlTl3
_cell_length_a 9.1090
_cell_length_b 9.1090
_cell_length_c 6.5657
_cell_angle_alpha 90.00
_cell_angle_beta 90.00
_cell_angle_gamma 120.00
_symmetry_space_group_name_H-M 'P 63/m c m'
_symmetry_Int_Tables_number 193
_symmetry_space_group_name_Hall '-P 6c 2'
loop_
_atom_site_label
_atom_site_fract_x
_atom_site_fract_y
_atom_site_fract_z
Tm1 0.0000 0.2756 0.2500
Tm2 0.3333 0.6667 0.0000
Al1 0.0000 0.0000 0.0000
Tl1 0.0000 0.3791 0.7500
```

calculated volume	26.2	A^3/atom
calculated formation energy	-0.320	eV per atom
magnetization	0.0	μB per formula unit
calculated total energy	-36.1	eV per formula unit

---

(2)
# Tm5AlTl4

A geometry-optimized Tm5AlTl4 structure (PBE, the Alexandria database).

Structure (CIF):
```
data_Tm5AlTl4
_cell_length_a 3.630
_cell_length_b 3.630
_cell_length_c 19.524
_cell_angle_alpha 90.00
_cell_angle_beta 90.00
_cell_angle_gamma 90.00
_symmetry_space_group_name_H-M 'P 4/m m m'
_symmetry_Int_Tables_number 123
_symmetry_space_group_name_Hall '-P 4 2'
loop_
_atom_site_label
_atom_site_fract_x
_atom_site_fract_y
_atom_site_fract_z
Tm1 0.000 0.000 0.000
Tm2 0.000 0.000 0.206
Tm3 0.000 0.000 0.411
Al1 0.500 0.500 0.500
Tl1 0.500 0.500 0.103
Tl2 0.500 0.500 0.308
```

calculated volume	25.7	A^3/atom
calculated formation energy	-0.310	eV per atom
magnetization	0.0	μB per formula unit
calculated total energy	-38.7	eV per formula unit

---

(3)
# Tm4Al3Tl

A geometry-optimized Tm4Al3Tl structure (PBE, the Alexandria database).

Structure (CIF):
```
data_Tm4Al3Tl
_cell_length_a 3.576
_cell_length_b 3.576
_cell_length_c 14.677
_cell_angle_alpha 90.00
_cell_angle_beta 90.00
_cell_angle_gamma 90.00
_symmetry_space_group_name_H-M 'P 4/m m m'
_symmetry_Int_Tables_number 123
_symmetry_space_group_name_Hall '-P 4 2'
loop_
_atom_site_label
_atom_site_fract_x
_atom_site_fract_y
_atom_site_fract_z
Tm1 0.000 0.000 0.118
Tm2 0.000 0.000 0.360
Al1 0.500 0.500 0.000
Al2 0.500 0.500 0.239
Tl1 0.500 0.500 0.500
```

calculated volume	23.5	A^3/atom
calculated formation energy	-0.364	eV per atom
magnetization	0.0	μB per formula unit
calculated total energy	-34.4	eV per formula unit

---

(4)
# TmAlTl2

A geometry-optimized TmAlTl2 structure (PBE, the Alexandria database).

Structure (CIF):
```
data_TmAlTl2
_cell_length_a 4.604
_cell_length_b 4.604
_cell_length_c 4.566
_cell_angle_alpha 90.00
_cell_angle_beta 90.00
_cell_angle_gamma 90.00
_symmetry_space_group_name_H-M 'P 4/m m m'
_symmetry_Int_Tables_number 123
_symmetry_space_group_name_Hall '-P 4 2'
loop_
_atom_site_label
_atom_site_fract_x
_atom_site_fract_y
_atom_site_fract_z
Tm1 0.000 0.000 0.000
Al1 0.500 0.500 0.000
Tl1 0.000 0.500 0.500
```

calculated volume	24.2	A^3/atom
energy relative to the lowest polymorph listed for this composition	0	meV/atom
calculated formation energy	-0.154	eV per atom
magnetization	0.0	μB per formula unit
calculated total energy	-13.6	eV per formula unit

---

(5)
# Tm3Al2Tl

A geometry-optimized Tm3Al2Tl structure (PBE, the Alexandria database).

Structure (CIF):
```
data_Tm3Al2Tl
_cell_length_a 3.594
_cell_length_b 3.594
_cell_length_c 11.083
_cell_angle_alpha 90.00
_cell_angle_beta 90.00
_cell_angle_gamma 90.00
_symmetry_space_group_name_H-M 'P 4/m m m'
_symmetry_Int_Tables_number 123
_symmetry_space_group_name_Hall '-P 4 2'
loop_
_atom_site_label
_atom_site_fract_x
_atom_site_fract_y
_atom_site_fract_z
Tm1 0.000 0.000 0.000
Tm2 0.000 0.000 0.316
Al1 0.500 0.500 0.157
Tl1 0.500 0.500 0.500
```

calculated volume	23.9	A^3/atom
calculated formation energy	-0.354	eV per atom
magnetization	0.0	μB per formula unit
calculated total energy	-25.4	eV per formula unit

---

(6)
# Tm3Al2Tl2

A geometry-optimized Tm3Al2Tl2 structure (PBE, the Alexandria database).

Structure (CIF):
```
data_Tm3Al2Tl2
_cell_length_a 4.378
_cell_length_b 21.810
_cell_length_c 3.508
_cell_angle_alpha 90.00
_cell_angle_beta 90.00
_cell_angle_gamma 90.00
_symmetry_space_group_name_H-M 'C m m m'
_symmetry_Int_Tables_number 65
_symmetry_space_group_name_Hall '-C 2 2'
loop_
_atom_site_label
_atom_site_fract_x
_atom_site_fract_y
_atom_site_fract_z
Tm1 0.000 0.000 0.000
Tm2 0.000 0.164 0.000
Al1 0.000 0.282 0.500
Tl1 0.000 0.420 0.500
```

calculated volume	23.9	A^3/atom
calculated formation energy	-0.355	eV per atom
magnetization	0.0	μB per formula unit
calculated total energy	-28.1	eV per formula unit

---

(7)
# Tm5Al2Tl2

A geometry-optimized Tm5Al2Tl2 structure (PBE, the Alexandria database).

Structure (CIF):
```
data_Tm5Al2Tl2
_cell_length_a 16.007
_cell_length_b 7.768
_cell_length_c 7.692
_cell_angle_alpha 90.00
_cell_angle_beta 90.00
_cell_angle_gamma 90.00
_symmetry_space_group_name_H-M 'C m c e'
_symmetry_Int_Tables_number 64
_symmetry_space_group_name_Hall '-C 2ac 2'
loop_
_atom_site_label
_atom_site_fract_x
_atom_site_fract_y
_atom_site_fract_z
Tm1 0.000 0.000 0.000
Tm2 0.131 0.184 0.322
Al1 0.000 0.119 0.620
Tl1 0.219 0.000 0.000
```

calculated volume	26.6	A^3/atom
calculated formation energy	-0.313	eV per atom
magnetization	0.0	μB per formula unit
calculated total energy	-37.4	eV per formula unit

---

(8)
# TmAlTl

A geometry-optimized TmAlTl structure (PBE, the Alexandria database).

Structure (CIF):
```
data_TmAlTl
_cell_length_a 4.7827
_cell_length_b 4.7827
_cell_length_c 3.4741
_cell_angle_alpha 90.00
_cell_angle_beta 90.00
_cell_angle_gamma 120.00
_symmetry_space_group_name_H-M 'P 3 m 1'
_symmetry_Int_Tables_number 156
loop_
_symmetry_equiv_pos_as_xyz
'x,y,z'
'-y,x-y,z'
'-x+y,-x,z'
'-y,-x,z'
'-x+y,y,z'
'x,x-y,z'
loop_
_atom_site_label
_atom_site_fract_x
_atom_site_fract_y
_atom_site_fract_z
Tm1 0.0000 0.0000 0.0000
Al1 0.3333 0.6667 0.5009
Tl1 0.6667 0.3333 0.4991
```

calculated volume	22.9	A^3/atom
energy relative to the lowest polymorph listed for this composition	0	meV/atom
calculated formation energy	-0.223	eV per atom
magnetization	0.0	μB per formula unit
calculated total energy	-11.2	eV per formula unit

---

(9)
# Tm12Al2Tl5

A geometry-optimized Tm12Al2Tl5 structure (PBE, the Alexandria database).

Structure (CIF):
```
data_Tm12Al2Tl5
_cell_length_a 17.015
_cell_length_b 7.060
_cell_length_c 8.992
_cell_angle_alpha 90.00
_cell_angle_beta 97.47
_cell_angle_gamma 90.00
_symmetry_space_group_name_H-M 'C 1 2/m 1'
_symmetry_Int_Tables_number 12
loop_
_symmetry_equiv_pos_as_xyz
'x,y,z'
'-x,-y,-z'
'-x,y,-z'
'x,-y,z'
'x+1/2,y+1/2,z'
'-x+1/2,-y+1/2,-z'
'-x+1/2,y+1/2,-z'
'x+1/2,-y+1/2,z'
loop_
_atom_site_label
_atom_site_fract_x
_atom_site_fract_y
_atom_site_fract_z
Tm1 0.006 0.000 0.193
Tm2 0.036 0.500 0.687
Tm3 0.151 0.246 0.014
Tm4 0.157 0.257 0.424
Al1 0.000 0.174 0.500
Tl1 0.000 0.500 0.000
Tl2 0.198 0.000 0.734
Tl3 0.226 0.500 0.748
```

calculated volume	28.2	A^3/atom
calculated formation energy	-0.111	eV per atom
magnetization	0.0	μB per formula unit
calculated total energy	-75.1	eV per formula unit

---

(10)
# TmAl2Tl

A geometry-optimized TmAl2Tl structure (PBE, the Alexandria database).

Structure (CIF):
```
data_TmAl2Tl
_cell_length_a 4.438
_cell_length_b 4.438
_cell_length_c 4.350
_cell_angle_alpha 90.00
_cell_angle_beta 90.00
_cell_angle_gamma 90.00
_symmetry_space_group_name_H-M 'P 4/m m m'
_symmetry_Int_Tables_number 123
_symmetry_space_group_name_Hall '-P 4 2'
loop_
_atom_site_label
_atom_site_fract_x
_atom_site_fract_y
_atom_site_fract_z
Tm1 0.000 0.000 0.000
Al1 0.000 0.500 0.500
Tl1 0.500 0.500 0.000
```

calculated volume	21.4	A^3/atom
calculated formation energy	-0.226	eV per atom
magnetization	0.0	μB per formula unit
calculated total energy	-15.2	eV per formula unit

---

(11)
# Tm4AlTl

A geometry-optimized Tm4AlTl structure (PBE, the Alexandria database).

Structure (CIF):
```
data_Tm4AlTl
_cell_length_a 5.232
_cell_length_b 21.751
_cell_length_c 6.411
_cell_angle_alpha 90.00
_cell_angle_beta 90.00
_cell_angle_gamma 90.00
_symmetry_space_group_name_H-M 'C m c 21'
_symmetry_Int_Tables_number 36
loop_
_symmetry_equiv_pos_as_xyz
'x,y,z'
'-x,-y,z+1/2'
'-x,y,z'
'x,-y,z+1/2'
'x+1/2,y+1/2,z'
'-x+1/2,-y+1/2,z+1/2'
'-x+1/2,y+1/2,z'
'x+1/2,-y+1/2,z+1/2'
loop_
_atom_site_label
_atom_site_fract_x
_atom_site_fract_y
_atom_site_fract_z
Tm1 0.000 0.067 0.000
Tm2 0.000 0.199 0.736
Tm3 0.000 0.210 0.221
Tm4 0.000 0.363 0.971
Al1 0.000 0.333 0.479
Tl1 0.000 0.071 0.495
```

calculated volume	30.4	A^3/atom
calculated formation energy	-0.041	eV per atom
magnetization	0.0	μB per formula unit
calculated total energy	-24.2	eV per formula unit

---

(12)
# Tm3AlTl

A geometry-optimized Tm3AlTl structure (PBE, the Alexandria database).

Structure (CIF):
```
data_Tm3AlTl
_cell_length_a 7.9624
_cell_length_b 7.9624
_cell_length_c 5.1137
_cell_angle_alpha 90.00
_cell_angle_beta 90.00
_cell_angle_gamma 120.00
_symmetry_space_group_name_H-M 'P 63/m m c'
_symmetry_Int_Tables_number 194
_symmetry_space_group_name_Hall '-P 6c 2c'
loop_
_atom_site_label
_atom_site_fract_x
_atom_site_fract_y
_atom_site_fract_z
Tm1 0.1914 0.3829 0.2500
Al1 0.0000 0.0000 0.0000
Tl1 0.3333 0.6667 0.7500
```

calculated volume	28.1	A^3/atom
energy relative to the lowest polymorph listed for this composition	186	meV/atom
calculated formation energy	-0.073	eV per atom
magnetization	0.0	μB per formula unit
calculated total energy	-19.9	eV per formula unit